1.
The following is a PBE calculation of an optimized crystal structure of Sr3ErHg4, from the Alexandria database.

Properties
The formation energy comes out at -0.508 eV/atom. The calculation puts the density of states at the Fermi level at 5.691 states/eV/cell. The mass density is 8.52 g/cm3. Its crystal system is tetragonal.

Unit cell a=3.8772 b=3.8772 c=15.9796 alpha=90.00 beta=90.00 gamma=90.00
Closest atoms and distances in Å follow each position.
Space group P4/mmm (No. 123)
Asymmetric unit:
Sr 0.0000 0.0000 0.0000 [1 per cell]  8 Hg 3.44
Sr 0.0000 0.0000 0.2603 [2 per cell]  8 Hg 3.44-3.49, 1 Er 3.83
Er 0.0000 0.0000 0.5000 [1 per cell]  8 Hg 3.21
Hg 0.5000 0.5000 0.1305 [2 per cell]  8 Sr 3.44
Hg 0.5000 0.5000 0.3950 [2 per cell]  4 Er 3.21, 1 Hg 3.36, 4 Sr 3.49

***

2.
The following is a PBE calculation of an optimized crystal structure of SrEr2Hg3, from the Alexandria database.

Properties
The formation energy comes out at -0.498 eV/atom. The calculation puts the density of states at the Fermi level at 3.054 states/eV/cell. The mass density is 10.46 g/cm3. Its crystal system is tetragonal.

Unit cell a=3.7593 b=3.7593 c=11.5035 alpha=90.00 beta=90.00 gamma=90.00
Closest atoms and distances in Å follow each position.
Space group P4/mmm (No. 123)
Asymmetric unit:
Sr 0.0000 0.0000 0.0000 [1 per cell]  8 Hg 3.47, 4 Sr 3.76
Er 0.0000 0.0000 0.3421 [2 per cell]  8 Hg 3.16-3.22
Hg 0.5000 0.5000 0.1937 [2 per cell]  4 Er 3.16, 4 Sr 3.47, 1 Hg 3.52
Hg 0.5000 0.5000 0.5000 [1 per cell]  8 Er 3.22, 2 Hg 3.52

***

Record-wise energy values, in eV/atom: -1.860; -2.450